Computed, not measured: a relaxed NdY3Mo8O30 crystal at the PBEsol level of DFT. Values from VASP.

**Uncorrected formation energy**: -2.428 eV per atom
**DOS at the Fermi energy**: 0.00 states/eV/f.u.

Quantum ESPRESSO input file:
```
&SYSTEM
  ibrav = 0, nat = 42, ntyp = 4
/
ATOMIC_SPECIES
Nd 144.24 Nd.upf
Y 88.91 Y.upf
Mo 95.94 Mo.upf
O 16.00 O.upf
CELL_PARAMETERS angstrom
6.779 -0.016 0.003
-0.012 9.635 0.008
2.813 0.006 10.265
ATOMIC_POSITIONS angstrom
Nd 3.493 9.411 7.424
Y 7.554 4.593 7.967
Y 6.115 0.209 2.815
Y 2.038 5.056 2.307
Mo 3.356 2.488 10.160
Mo 7.618 7.257 5.222
Mo 6.237 7.138 0.147
Mo 1.868 2.395 4.993
Mo 6.595 0.952 8.726
Mo 4.454 5.676 6.726
Mo 3.011 8.709 1.621
Mo 5.127 3.879 3.516
O 9.155 3.565 9.210
O 1.793 8.386 6.166
O 0.396 6.041 1.113
O 7.669 1.254 4.076
O 6.601 2.691 8.781
O 4.486 7.415 6.644
O 3.009 6.970 1.522
O 5.085 2.137 3.526
O 8.276 0.553 8.505
O 2.774 5.315 7.015
O 1.340 9.107 1.915
O 6.810 4.250 3.262
O 1.701 3.394 0.844
O 6.434 8.149 4.278
O 7.887 6.268 9.426
O 3.072 1.520 5.917
O 5.835 0.311 7.290
O 5.286 5.037 8.122
O 3.854 9.327 3.021
O 4.306 4.581 2.143
O 4.241 1.355 9.095
O 6.823 6.074 6.306
O 5.404 8.321 1.202
O 2.716 3.537 3.907
O 6.297 1.572 1.016
O 1.897 6.419 4.102
O 3.360 8.007 9.324
O 7.633 3.245 6.144
O 3.384 0.011 0.038
O 4.782 4.742 5.141
```

=====

Computed, not measured: a relaxed NdMo6Se8 crystal at the PBEsol level of DFT. Values from VASP.

**Uncorrected formation energy**: -0.760 eV per atom
**DOS at the Fermi energy**: 6.86 states/eV/f.u.

Quantum ESPRESSO input file:
```
&SYSTEM
  ibrav = 0, nat = 15, ntyp = 3
/
ATOMIC_SPECIES
Nd 144.24 Nd.upf
Mo 95.94 Mo.upf
Se 78.96 Se.upf
CELL_PARAMETERS angstrom
6.695 0.032 0.032
0.152 6.694 0.032
0.152 0.149 6.692
ATOMIC_POSITIONS angstrom
Nd 0.000 0.000 0.000
Mo 4.045 3.067 5.162
Mo 5.287 3.952 2.976
Mo 3.139 5.231 3.899
Mo 2.953 3.807 1.593
Mo 1.712 2.923 3.779
Mo 3.860 1.643 2.856
Se 5.313 5.219 5.129
Se 1.685 1.655 1.627
Se 4.344 5.943 1.667
Se 1.848 4.311 5.913
Se 6.020 1.741 4.207
Se 2.655 0.931 5.088
Se 5.150 2.563 0.842
Se 0.979 5.134 2.548
```

=====

Repeat the second record exactly.
Computed, not measured: a relaxed NdMo6Se8 crystal at the PBEsol level of DFT. Values from VASP.

**Uncorrected formation energy**: -0.760 eV per atom
**DOS at the Fermi energy**: 6.86 states/eV/f.u.

Quantum ESPRESSO input file:
```
&SYSTEM
  ibrav = 0, nat = 15, ntyp = 3
/
ATOMIC_SPECIES
Nd 144.24 Nd.upf
Mo 95.94 Mo.upf
Se 78.96 Se.upf
CELL_PARAMETERS angstrom
6.695 0.032 0.032
0.152 6.694 0.032
0.152 0.149 6.692
ATOMIC_POSITIONS angstrom
Nd 0.000 0.000 0.000
Mo 4.045 3.067 5.162
Mo 5.287 3.952 2.976
Mo 3.139 5.231 3.899
Mo 2.953 3.807 1.593
Mo 1.712 2.923 3.779
Mo 3.860 1.643 2.856
Se 5.313 5.219 5.129
Se 1.685 1.655 1.627
Se 4.344 5.943 1.667
Se 1.848 4.311 5.913
Se 6.020 1.741 4.207
Se 2.655 0.931 5.088
Se 5.150 2.563 0.842
Se 0.979 5.134 2.548
```